LiZnCuAs: optimized geometry, PBE.

Values from the calculation:
**Relative energy among the computed polymorphs**: 0 meV per atom

Cell lengths 4.3270, 4.3270, 4.3270 Å; angles 60.00, 60.00, 60.00 degrees
Fractional coordinates of all 4 atoms:
1 Li 0.2500 0.2500 0.2500
2 Cu 0.7500 0.7500 0.7500
3 Zn 0.5000 0.5000 0.5000
4 As 0.0000 0.0000 0.0000